(1)
EuAgSb PBE-GGA relaxed; E_tot = -6.145 eV/atom; crystal system = tetragonal; space-group type = I4mm, No. 107; energy relative to the elements, uncorrected = -0.40 eV per atom
1.0
-3.515 2.206 -1.161
-1.964 -1.213 3.639
4.352 3.177 0.856
Sb Eu Ag
1 1 1
Direct
0.961 0.961 0.922 Sb
0.613 0.613 0.227 Eu
0.276 0.276 0.551 Ag



(2)
EuAgSb PBE-GGA relaxed; E_tot = -6.419 eV/atom; crystal system = trigonal; space-group type = P3m1, No. 156; energy relative to the elements, uncorrected = -0.67 eV per atom
1.0
-3.465 -0.890 -2.531
1.239 -4.545 -0.099
-2.875 1.585 3.380
Eu Sb Ag
1 1 1
Direct
0.667 0.667 0.333 Eu
0.169 0.333 0.667 Sb
0.165 0.000 0.000 Ag



(3)
SmEuAgSb PBE-GGA relaxed; E_tot = -6.112 eV/atom; crystal system = cubic; space-group type = F-43m, No. 216; energy relative to the elements, uncorrected = -0.62 eV per atom
1.0
-2.223 0.483 -4.882
-5.358 -0.103 -0.541
-2.661 4.495 -1.314
Sb Sm Eu Ag
1 1 1 1
Direct
0.250 0.250 0.250 Sb
0.500 0.500 0.500 Sm
0.000 0.000 0.000 Eu
0.750 0.750 0.750 Ag



(4)
TbEuAgSb PBE-GGA relaxed; E_tot = -6.067 eV/atom; crystal system = cubic; space-group type = F-43m, No. 216; energy relative to the elements, uncorrected = -0.60 eV per atom
1.0
-3.928 -2.450 2.663
1.113 -2.843 4.382
-1.498 1.797 4.801
Eu Tb Sb Ag
1 1 1 1
Direct
0.000 0.000 0.000 Eu
0.500 0.500 0.500 Tb
0.250 0.250 0.250 Sb
0.750 0.750 0.750 Ag



(5)
EuTmAgSb PBE-GGA relaxed; E_tot = -5.984 eV/atom; crystal system = cubic; space-group type = F-43m, No. 216; energy relative to the elements, uncorrected = -0.55 eV per atom
1.0
-5.216 -0.221 0.909
-2.216 -4.529 1.631
-1.809 -0.428 4.962
Tm Sb Eu Ag
1 1 1 1
Direct
0.000 0.000 0.000 Tm
0.250 0.250 0.250 Sb
0.500 0.500 0.500 Eu
0.750 0.750 0.750 Ag



(6)
EuScAg PBE-GGA relaxed; E_tot = -6.587 eV/atom; crystal system = tetragonal; space-group type = I4mm, No. 107; relative energy among the computed polymorphs = 0.000 eV/atom; ΔE_f = -0.102 eV per atom
1.0
3.597 0.000 0.000
0.000 3.597 0.000
-1.798 -1.798 6.211
Sc Eu Ag
1 1 1
Direct
0.299 0.299 0.597 Sc
0.013 0.013 0.025 Eu
0.689 0.689 0.377 Ag



(7)
EuScAg PBE-GGA relaxed; E_tot = -6.462 eV/atom; crystal system = hexagonal; space-group type = P-6m2, No. 187; relative energy among the computed polymorphs = 0.126 eV/atom; ΔE_f = 0.024 eV per atom
1.0
-1.324 -0.430 3.561
1.818 -4.609 0.119
2.797 3.807 1.499
Sc Ag Eu
1 1 1
Direct
0.167 0.000 0.000 Sc
0.166 0.333 0.667 Ag
0.667 0.667 0.333 Eu



(8)
EuScAgSn PBE-GGA relaxed; E_tot = -6.313 eV/atom; crystal system = cubic; space-group type = F-43m, No. 216; ΔE_f = -0.448 eV per atom
1.0
-2.910 -0.155 -4.312
1.292 -3.198 -3.898
-2.928 -4.182 -1.014
Sn Sc Ag Eu
1 1 1 1
Direct
0.250 0.250 0.250 Sn
0.500 0.500 0.500 Sc
0.750 0.750 0.750 Ag
0.000 0.000 0.000 Eu



(9)
EuScZnAg PBE-GGA relaxed; E_tot = -5.376 eV/atom; crystal system = cubic; space-group type = F-43m, No. 216; ΔE_f = -0.193 eV per atom
1.0
5.075 0.000 0.000
2.538 4.395 0.000
2.538 1.465 4.144
Zn Sc Eu Ag
1 1 1 1
Direct
0.750 0.750 0.750 Zn
0.500 0.500 0.500 Sc
0.000 0.000 0.000 Eu
0.250 0.250 0.250 Ag



(10)
Eu2Si3Ag PBE-GGA relaxed; E_tot = -7.130 eV/atom; crystal system = orthorhombic; space-group type = Fddd, No. 70; energy relative to the elements, uncorrected = -0.52 eV per atom
1.0
-6.011 -5.320 8.054
-7.247 -6.412 -0.215
3.010 -6.325 4.693
Si Eu Ag
12 8 4
Direct
0.912 0.588 0.912 Si
0.180 0.824 0.659 Si
0.591 0.913 0.070 Si
0.588 0.912 0.588 Si
0.824 0.180 0.337 Si
0.659 0.337 0.180 Si
0.662 0.338 0.662 Si
0.426 0.070 0.913 Si
0.070 0.426 0.591 Si
0.913 0.591 0.426 Si
0.337 0.659 0.824 Si
0.338 0.662 0.338 Si
0.623 0.623 0.377 Eu
0.627 0.627 0.873 Eu
0.875 0.875 0.125 Eu
0.375 0.375 0.125 Eu
0.873 0.873 0.627 Eu
0.125 0.125 0.375 Eu
0.377 0.377 0.623 Eu
0.125 0.125 0.875 Eu
0.417 0.083 0.417 Ag
0.167 0.833 0.167 Ag
0.833 0.167 0.833 Ag
0.083 0.417 0.083 Ag



(11)
EuSiAg PBE-GGA relaxed; E_tot = -6.558 eV/atom; crystal system = hexagonal; space-group type = P-6m2, No. 187; energy relative to the elements, uncorrected = -0.38 eV per atom
1.0
3.720 0.000 0.000
0.000 4.581 0.000
0.000 -2.290 3.967
Ag Eu Si
1 1 1
Direct
0.167 0.667 0.333 Ag
0.667 0.333 0.667 Eu
0.167 0.000 0.000 Si



(12)
EuSiAg4 PBE-GGA relaxed; E_tot = -4.548 eV/atom; crystal system = cubic; space-group type = F-43m, No. 216; energy relative to the elements, uncorrected = -0.03 eV per atom
1.0
-0.646 -5.276 -1.763
0.354 -4.234 3.648
-4.594 -2.879 1.403
Ag Si Eu
4 1 1
Direct
0.124 0.625 0.625 Ag
0.625 0.625 0.625 Ag
0.625 0.625 0.124 Ag
0.625 0.124 0.625 Ag
0.000 0.000 0.000 Si
0.250 0.250 0.250 Eu



(13)
SmEuSiAg PBE-GGA relaxed; E_tot = -6.226 eV/atom; crystal system = cubic; space-group type = F-43m, No. 216; energy relative to the elements, uncorrected = -0.41 eV per atom
1.0
-1.908 -0.534 4.817
-4.836 -1.803 0.700
-0.743 -4.754 1.995
Ag Si Sm Eu
1 1 1 1
Direct
0.250 0.250 0.250 Ag
0.750 0.750 0.750 Si
0.500 0.500 0.500 Sm
0.000 0.000 0.000 Eu



(14)
TbEuSiAg PBE-GGA relaxed; E_tot = -6.208 eV/atom; crystal system = cubic; space-group type = F-43m, No. 216; energy relative to the elements, uncorrected = -0.41 eV per atom
1.0
-2.587 -2.357 -3.793
-3.641 -3.478 1.133
-4.974 1.114 -0.811
Si Tb Eu Ag
1 1 1 1
Direct
0.250 0.250 0.250 Si
0.500 0.500 0.500 Tb
0.000 0.000 0.000 Eu
0.750 0.750 0.750 Ag



(15)
EuYSiAg PBE-GGA relaxed; E_tot = -6.675 eV/atom; crystal system = cubic; space-group type = F-43m, No. 216; energy relative to the elements, uncorrected = -0.42 eV per atom
1.0
-3.065 2.653 3.184
-4.748 -1.721 1.037
-1.099 -1.873 4.676
Ag Si Y Eu
1 1 1 1
Direct
0.250 0.250 0.250 Ag
0.750 0.750 0.750 Si
0.500 0.500 0.500 Y
0.000 0.000 0.000 Eu



(16)
SmEuAg PBE-GGA relaxed; E_tot = -5.947 eV/atom; crystal system = trigonal; space-group type = P3m1, No. 156; relative energy among the computed polymorphs = 0.144 eV/atom; ΔE_f = 0.002 eV per atom
1.0
3.757 0.000 0.000
0.000 5.194 0.000
0.000 -2.597 4.498
Eu Sm Ag
1 1 1
Direct
0.628 0.667 0.333 Eu
0.058 0.000 0.000 Sm
0.314 0.333 0.667 Ag



(17)
SmEuAg2 PBE-GGA relaxed; E_tot = -5.439 eV/atom; crystal system = cubic; space-group type = Fm-3m, No. 225; relative energy among the computed polymorphs = 0.019 eV/atom; ΔE_f = -0.265 eV per atom
1.0
5.303 0.000 0.000
2.651 4.592 0.000
2.651 1.531 4.330
Eu Ag Sm
1 2 1
Direct
0.000 0.000 0.000 Eu
0.750 0.750 0.750 Ag
0.250 0.250 0.250 Ag
0.500 0.500 0.500 Sm



(18)
SmEuAg PBE-GGA relaxed; E_tot = -5.912 eV/atom; crystal system = cubic; space-group type = F-43m, No. 216; relative energy among the computed polymorphs = 0.179 eV/atom; ΔE_f = 0.036 eV per atom
1.0
-4.075 -1.654 -2.796
0.776 -2.570 -4.466
-1.063 -5.093 -0.294
Ag Eu Sm
1 1 1
Direct
0.250 0.250 0.250 Ag
0.000 0.000 0.000 Eu
0.500 0.500 0.500 Sm



(19)
SmEuAg4 PBE-GGA relaxed; E_tot = -4.574 eV/atom; crystal system = cubic; space-group type = F-43m, No. 216; ΔE_f = -0.175 eV per atom
1.0
5.800 0.000 0.000
2.900 5.023 0.000
2.900 1.674 4.736
Eu Ag Sm
1 4 1
Direct
0.250 0.250 0.250 Eu
0.625 0.625 0.625 Ag
0.125 0.625 0.625 Ag
0.625 0.125 0.625 Ag
0.625 0.625 0.125 Ag
0.000 0.000 0.000 Sm



(20)
SmEuAg PBE-GGA relaxed; E_tot = -6.091 eV/atom; crystal system = tetragonal; space-group type = I4mm, No. 107; relative energy among the computed polymorphs = 0.000 eV/atom; ΔE_f = -0.143 eV per atom
1.0
-1.052 2.785 -2.297
-2.713 -2.189 -1.410
-2.255 1.896 6.409
Eu Sm Ag
1 1 1
Direct
0.021 0.021 0.043 Eu
0.303 0.303 0.607 Sm
0.675 0.675 0.350 Ag